1.
Below is crystalline CdRe2Os at its relaxed geometry, with properties calculated at the PBE level.

abc: 5.0374 5.0374 5.0374
angles: 135.03 135.03 65.48
Fractional positions:
1 Cd 0.0000 0.0000 0.0000
2 Re 0.2500 0.7500 0.5000
3 Re 0.7500 0.2500 0.5000
4 Os 0.5000 0.5000 0.0000

## Properties
symmetry: I4/mmm, No. 139

=====

2.
Below is crystalline CdRe3Os at its relaxed geometry, with properties calculated at the PBE level.

abc: 4.7453 4.7453 4.7453
angles: 90.00 90.00 90.00
Fractional positions:
1 Cd 0.0000 0.0000 0.0000
2 Re 0.0000 0.5000 0.5000
3 Re 0.5000 0.0000 0.5000
4 Re 0.5000 0.5000 0.0000
5 Os 0.5000 0.5000 0.5000

## Properties
symmetry: Pm-3m, No. 221

=====

3.
Below is crystalline CdReOs2 at its relaxed geometry, with properties calculated at the PBE level.

abc: 4.7915 4.7915 4.7915
angles: 130.40 130.40 72.77
Fractional positions:
1 Cd 0.0000 0.0000 0.0000
2 Re 0.5000 0.5000 0.0000
3 Os 0.2500 0.7500 0.5000
4 Os 0.7500 0.2500 0.5000

## Properties
symmetry: I4/mmm, No. 139

=====

4.
Below is crystalline CdRe2Os at its relaxed geometry, with properties calculated at the PBE level.

abc: 4.9644 4.9644 2.7880
angles: 90.00 90.00 113.62
Fractional positions:
1 Cd 0.0000 0.0000 0.0000
2 Re 0.0000 0.5000 0.5000
3 Re 0.5000 0.0000 0.5000
4 Os 0.5000 0.5000 0.0000

## Properties
symmetry: Cmmm, No. 65

=====

| no. | uncorrected energy (eV per atom) | M_tot (μB/cell) |
| --- | --- | --- |
| 1 | -8.586 | 0.000 |
| 2 | -7.820 | 1.261 |
| 3 | -8.283 | 0.169 |
| 4 | -8.594 | 0.000 |